Record 1
# YPuGaAg PBE-GGA optimized geometry
data_YPuGaAg
_cell_length_a 7.272
_cell_length_b 7.272
_cell_length_c 7.272
_cell_angle_alpha 90.00
_cell_angle_beta 90.00
_cell_angle_gamma 90.00
_space_group_name_H-M_alt 'F -4 3 m'
_space_group_IT_number 216
_space_group_name_Hall 'F -4 2 3'
loop_
_atom_site_label
_atom_site_type_symbol
_atom_site_fract_x
_atom_site_fract_y
_atom_site_fract_z
_atom_site_occupancy
Y1 Y 0.000 0.000 0.000 1
Pu1 Pu 0.000 0.000 0.500 1
Ga1 Ga 0.250 0.250 0.750 1
Ag1 Ag 0.250 0.250 0.250 1
# Total DFT energy (no corrections): -6.904 eV per atom
# Size of the total moment: 22.590 μB/cell

---

Record 2
# PuZnGaAg PBE-GGA optimized geometry
data_PuZnGaAg
_cell_length_a 6.809
_cell_length_b 6.809
_cell_length_c 6.809
_cell_angle_alpha 90.00
_cell_angle_beta 90.00
_cell_angle_gamma 90.00
_space_group_name_H-M_alt 'F -4 3 m'
_space_group_IT_number 216
_space_group_name_Hall 'F -4 2 3'
loop_
_atom_site_label
_atom_site_type_symbol
_atom_site_fract_x
_atom_site_fract_y
_atom_site_fract_z
_atom_site_occupancy
Pu1 Pu 0.000 0.000 0.000 1
Zn1 Zn 0.250 0.250 0.250 1
Ga1 Ga 0.250 0.250 0.750 1
Ag1 Ag 0.000 0.000 0.500 1
# Total DFT energy (no corrections): -5.490 eV per atom
# Size of the total moment: 22.579 μB/cell

---

Record 3
# Pu2Zn4Ga3Ag PBE-GGA optimized geometry
data_Pu2Zn4Ga3Ag
_cell_length_a 4.220
_cell_length_b 4.220
_cell_length_c 10.813
_cell_angle_alpha 90.00
_cell_angle_beta 90.00
_cell_angle_gamma 90.00
_space_group_name_H-M_alt 'P -4 m 2'
_space_group_IT_number 115
_space_group_name_Hall 'P -4 -2'
loop_
_atom_site_label
_atom_site_type_symbol
_atom_site_fract_x
_atom_site_fract_y
_atom_site_fract_z
_atom_site_occupancy
Pu1 Pu 0.000 0.500 0.244 1
Zn1 Zn 0.000 0.000 0.000 1
Zn2 Zn 0.000 0.500 0.640 1
Zn3 Zn 0.500 0.500 0.000 1
Ga1 Ga 0.000 0.500 0.865 1
Ga2 Ga 0.500 0.500 0.500 1
Ag1 Ag 0.000 0.000 0.500 1
# Total DFT energy (no corrections): -4.751 eV per atom
# Size of the total moment: 11.183 μB/cell

---

Record 4
# PuZrGaAg PBE-GGA optimized geometry
data_PuZrGaAg
_cell_length_a 7.047
_cell_length_b 7.047
_cell_length_c 7.047
_cell_angle_alpha 90.00
_cell_angle_beta 90.00
_cell_angle_gamma 90.00
_space_group_name_H-M_alt 'F -4 3 m'
_space_group_IT_number 216
_space_group_name_Hall 'F -4 2 3'
loop_
_atom_site_label
_atom_site_type_symbol
_atom_site_fract_x
_atom_site_fract_y
_atom_site_fract_z
_atom_site_occupancy
Pu1 Pu 0.000 0.000 0.000 1
Zr1 Zr 0.000 0.000 0.500 1
Ga1 Ga 0.250 0.250 0.750 1
Ag1 Ag 0.250 0.250 0.250 1
# Total DFT energy (no corrections): -7.280 eV per atom
# Size of the total moment: 25.882 μB/cell

---

Record 5
# RbGaAg3 PBE-GGA optimized geometry
data_RbGaAg3
_cell_length_a 6.060
_cell_length_b 6.060
_cell_length_c 6.060
_cell_angle_alpha 90.00
_cell_angle_beta 90.00
_cell_angle_gamma 90.00
_space_group_name_H-M_alt 'P m -3 m'
_space_group_IT_number 221
_space_group_name_Hall '-P 4 2 3'
loop_
_atom_site_label
_atom_site_type_symbol
_atom_site_fract_x
_atom_site_fract_y
_atom_site_fract_z
_atom_site_occupancy
Rb1 Rb 0.000 0.000 0.000 1
Ga1 Ga 0.500 0.500 0.500 1
Ag1 Ag 0.000 0.000 0.500 1
# Distance to the lowest polymorph of the same formula: 108.0 kJ/mol of atoms
# Size of the total moment: 0.000 μB/cell

---

Record 6
# RbGa4Ag2 PBE-GGA optimized geometry
data_RbGa4Ag2
_cell_length_a 9.104
_cell_length_b 9.104
_cell_length_c 3.828
_cell_angle_alpha 90.00
_cell_angle_beta 90.00
_cell_angle_gamma 90.00
_space_group_name_H-M_alt 'P 42/m n m'
_space_group_IT_number 136
_space_group_name_Hall '-P 4n 2n'
loop_
_atom_site_label
_atom_site_type_symbol
_atom_site_fract_x
_atom_site_fract_y
_atom_site_fract_z
_atom_site_occupancy
Rb1 Rb 0.000 0.000 0.000 1
Ga1 Ga 0.050 0.347 0.500 1
Ag1 Ag 0.235 0.765 0.500 1
# Total DFT energy (no corrections): -2.699 eV per atom
# Size of the total moment: 0.000 μB/cell

---

Record 7
# Rb2GaAg2 PBE-GGA optimized geometry
data_Rb2GaAg2
_cell_length_a 4.7249
_cell_length_b 4.7249
_cell_length_c 32.2424
_cell_angle_alpha 90.00
_cell_angle_beta 90.00
_cell_angle_gamma 120.00
_space_group_name_H-M_alt 'R -3 m'
_space_group_IT_number 166
_space_group_name_Hall '-R 3 2"'
loop_
_atom_site_label
_atom_site_type_symbol
_atom_site_fract_x
_atom_site_fract_y
_atom_site_fract_z
_atom_site_occupancy
Rb1 Rb 0.0000 0.0000 0.0728 1
Ga1 Ga 0.0000 0.0000 0.5000 1
Ag1 Ag 0.0000 0.0000 0.1783 1
# Distance to the lowest polymorph of the same formula: 0.0 kJ/mol of atoms
# Size of the total moment: 0.000 μB/cell

---

Record 8
# RbGa6Ag8 PBE-GGA optimized geometry
data_RbGa6Ag8
_cell_length_a 8.3613
_cell_length_b 8.3613
_cell_length_c 15.2080
_cell_angle_alpha 90.00
_cell_angle_beta 90.00
_cell_angle_gamma 120.00
_space_group_name_H-M_alt 'R -3'
_space_group_IT_number 148
_space_group_name_Hall '-R 3'
loop_
_atom_site_label
_atom_site_type_symbol
_atom_site_fract_x
_atom_site_fract_y
_atom_site_fract_z
_atom_site_occupancy
Rb1 Rb 0.0000 0.0000 0.0000 1
Ga1 Ga 0.0036 0.1982 0.3675 1
Ag1 Ag 0.0000 0.0000 0.2180 1
Ag2 Ag 0.0018 0.6619 0.8018 1
# Total DFT energy (no corrections): -2.751 eV per atom
# Size of the total moment: 0.000 μB/cell

---

Record 9
# RbGaAg3 PBE-GGA optimized geometry
data_RbGaAg3
_cell_length_a 5.152
_cell_length_b 5.152
_cell_length_c 5.152
_cell_angle_alpha 90.00
_cell_angle_beta 90.00
_cell_angle_gamma 90.00
_space_group_name_H-M_alt 'P m -3 m'
_space_group_IT_number 221
_space_group_name_Hall '-P 4 2 3'
loop_
_atom_site_label
_atom_site_type_symbol
_atom_site_fract_x
_atom_site_fract_y
_atom_site_fract_z
_atom_site_occupancy
Rb1 Rb 0.000 0.000 0.000 1
Ga1 Ga 0.500 0.500 0.500 1
Ag1 Ag 0.000 0.500 0.500 1
# Distance to the lowest polymorph of the same formula: 4.5 kJ/mol of atoms
# Size of the total moment: 0.000 μB/cell

---

Record 10
# RbGa9Ag4 PBE-GGA optimized geometry
data_RbGa9Ag4
_cell_length_a 9.202
_cell_length_b 9.202
_cell_length_c 13.481
_cell_angle_alpha 90.00
_cell_angle_beta 90.00
_cell_angle_gamma 90.00
_space_group_name_H-M_alt 'I 4/m c m'
_space_group_IT_number 140
_space_group_name_Hall '-I 4 2c'
loop_
_atom_site_label
_atom_site_type_symbol
_atom_site_fract_x
_atom_site_fract_y
_atom_site_fract_z
_atom_site_occupancy
Rb1 Rb 0.000 0.000 0.250 1
Ga1 Ga 0.000 0.500 0.000 1
Ga2 Ga 0.061 0.199 0.000 1
Ga3 Ga 0.124 0.376 0.177 1
Ag1 Ag 0.174 0.326 0.376 1
# Total DFT energy (no corrections): -2.871 eV per atom
# Size of the total moment: 0.000 μB/cell

---

Record 11
# RbGaAg3 PBE-GGA optimized geometry
data_RbGaAg3
_cell_length_a 13.832
_cell_length_b 10.131
_cell_length_c 7.366
_cell_angle_alpha 90.00
_cell_angle_beta 104.17
_cell_angle_gamma 90.00
_space_group_name_H-M_alt 'C 1 2/c 1'
_space_group_IT_number 15
_space_group_name_Hall '-C 2yc'
loop_
_atom_site_label
_atom_site_type_symbol
_atom_site_fract_x
_atom_site_fract_y
_atom_site_fract_z
_atom_site_occupancy
Rb1 Rb 0.000 0.010 0.250 1
Rb2 Rb 0.000 0.347 0.250 1
Ga1 Ga 0.098 0.327 0.821 1
Ag1 Ag 0.194 0.467 0.604 1
Ag2 Ag 0.195 0.142 0.054 1
Ag3 Ag 0.214 0.174 0.642 1
# Distance to the lowest polymorph of the same formula: 0.0 kJ/mol of atoms
# Size of the total moment: 0.000 μB/cell

---

Record 12
# Rb2Ga17Ag3 PBE-GGA optimized geometry
data_Rb2Ga17Ag3
_cell_length_a 11.1768
_cell_length_b 11.1768
_cell_length_c 14.4054
_cell_angle_alpha 90.00
_cell_angle_beta 90.00
_cell_angle_gamma 120.00
_space_group_name_H-M_alt 'R -3 m'
_space_group_IT_number 166
_space_group_name_Hall '-R 3 2"'
loop_
_atom_site_label
_atom_site_type_symbol
_atom_site_fract_x
_atom_site_fract_y
_atom_site_fract_z
_atom_site_occupancy
Rb1 Rb 0.0000 0.0000 0.1363 1
Ga1 Ga 0.0000 0.0000 0.4072 1
Ga2 Ga 0.0000 0.2635 0.5000 1
Ga3 Ga 0.0000 0.5000 0.0000 1
Ga4 Ga 0.0711 0.5355 0.3273 1
Ag1 Ag 0.0000 0.5000 0.5000 1
# Total DFT energy (no corrections): -2.752 eV per atom
# Size of the total moment: 0.000 μB/cell